Entry 1:
Below is Mg3Hg at its PBEsol-relaxed geometry, with properties calculated at the SCAN level. Values from VASP.

## Properties
As for the density of states at the Fermi level: 0.291 states/eV/atom. The space group is P6_3/mmc. As for the electronic total energy: -168.3 eV per cell. The energy of formation from the pure elements comes out at -0.27 eV/atom.

```
&SYSTEM
  ibrav = 0, nat = 8, ntyp = 2
/
ATOMIC_SPECIES
Mg 24.30 Mg.upf
Hg 200.59 Hg.upf
CELL_PARAMETERS angstrom
-3.8985 2.8953 0.5969
-1.3714 -0.6004 -6.0451
-3.7197 -4.6157 -1.9056
ATOMIC_POSITIONS crystal
Mg 0.7500 0.1694 0.1696
Mg 0.7500 0.6610 0.1696
Mg 0.7500 0.1696 0.6608
Mg 0.2500 0.8304 0.3392
Mg 0.2500 0.8306 0.8304
Hg 0.7500 0.6666 0.6669
Hg 0.2500 0.3334 0.3331
Mg 0.2500 0.3390 0.8304
```



Entry 2:
Below is AlZnCl2 at its PBEsol-relaxed geometry, with properties calculated at the SCAN level. Values from VASP.

## Properties
As for the density of states at the Fermi level: 0.400 states/eV/atom. The space group is I-4m2. As for the electronic total energy: -37.9 eV per cell. For the formation energy without anion corrections, the calculation gives -0.17 eV per atom. The energy relative to the lowest polymorph listed for this composition comes out at 502 meV/atom.

```
&SYSTEM
  ibrav = 0, nat = 4, ntyp = 3
/
ATOMIC_SPECIES
Cl 35.45 Cl.upf
Zn 65.41 Zn.upf
Al 26.98 Al.upf
CELL_PARAMETERS angstrom
-2.9845 2.3102 0.7215
-1.1021 -0.2775 -3.6706
-1.1511 -5.5497 2.7765
ATOMIC_POSITIONS crystal
Cl 0.0000 0.0000 0.0000
Cl 0.7500 0.2500 0.5000
Zn 0.5000 0.5000 0.0000
Al 0.2500 0.7500 0.5000
```



Entry 3:
Below is ScSbP at its PBEsol-relaxed geometry, with properties calculated at the SCAN level. Values from VASP.

## Properties
As for the density of states at the Fermi level: 0.793 states/eV/atom. The space group is P3m1. As for the electronic total energy: -62.9 eV per cell. For the formation energy without anion corrections, the calculation gives -0.33 eV per atom.

```
&SYSTEM
  ibrav = 0, nat = 3, ntyp = 3
/
ATOMIC_SPECIES
P 30.97 P.upf
Sb 121.76 Sb.upf
Sc 44.96 Sc.upf
CELL_PARAMETERS angstrom
-2.6612 -2.1562 -0.9214
3.2866 -1.2875 0.3472
-1.0301 -1.1203 5.5967
ATOMIC_POSITIONS crystal
P 0.0000 0.0000 0.0199
Sb 0.3333 0.6667 0.6870
Sc 0.6667 0.3333 0.2932
```



Entry 4:
Below is In2AgPt at its PBEsol-relaxed geometry, with properties calculated at the SCAN level. Values from VASP.

## Properties
As for the density of states at the Fermi level: 0.394 states/eV/atom. The space group is Imm2. As for the electronic total energy: -169.3 eV per cell. The energy of formation from the pure elements comes out at -0.23 eV/atom. The energy relative to the lowest polymorph listed for this composition comes out at 0 meV/atom.

```
&SYSTEM
  ibrav = 0, nat = 4, ntyp = 3
/
ATOMIC_SPECIES
In 114.82 In.upf
Pt 195.08 Pt.upf
Ag 107.87 Ag.upf
CELL_PARAMETERS angstrom
-0.0634 -2.8777 -0.5868
3.0659 0.5934 -3.2408
2.8988 0.2309 5.9068
ATOMIC_POSITIONS crystal
In 0.9789 0.9791 0.9578
Pt 0.5109 0.5111 0.0218
In 0.2083 0.7081 0.4167
Ag 0.8018 0.3016 0.6037
```



Entry 5:
Below is Zn3IBr at its PBEsol-relaxed geometry, with properties calculated at the SCAN level. Values from VASP.

## Properties
As for the density of states at the Fermi level: 0.364 states/eV/atom. The space group is Pm-3m. As for the electronic total energy: -94.3 eV per cell. For the formation energy without anion corrections, the calculation gives 0.50 eV per atom.

```
&SYSTEM
  ibrav = 0, nat = 5, ntyp = 3
/
ATOMIC_SPECIES
Zn 65.41 Zn.upf
Br 79.90 Br.upf
I 126.90 I.upf
CELL_PARAMETERS angstrom
5.2718 0.0000 0.0000
0.0000 5.2718 0.0000
0.0000 0.0000 5.2718
ATOMIC_POSITIONS crystal
Zn 0.5000 0.0000 0.0000
Zn 0.0000 0.0000 0.5000
Br 0.0000 0.0000 0.0000
Zn 0.0000 0.5000 0.0000
I 0.5000 0.5000 0.5000
```



Entry 6:
Below is BeOs2Ru at its PBEsol-relaxed geometry, with properties calculated at the SCAN level. Values from VASP.

## Properties
As for the density of states at the Fermi level: 0.619 states/eV/atom. The space group is P2/m. As for the electronic total energy: -182.7 eV per cell. The energy of formation from the pure elements comes out at 0.05 eV/atom.

```
&SYSTEM
  ibrav = 0, nat = 4, ntyp = 3
/
ATOMIC_SPECIES
Ru 101.07 Ru.upf
Os 190.23 Os.upf
Be 9.01 Be.upf
CELL_PARAMETERS angstrom
2.6794 0.0000 0.0014
0.0000 3.8572 0.0000
-1.1759 0.0000 4.9036
ATOMIC_POSITIONS crystal
Ru 0.5000 0.5000 0.0000
Os 0.1243 0.0000 0.2698
Os 0.8757 0.0000 0.7302
Be 0.5000 0.5000 0.5000
```



Entry 7:
Below is TaCoSb2 at its PBEsol-relaxed geometry, with properties calculated at the SCAN level. Values from VASP.

## Properties
As for the density of states at the Fermi level: 0.656 states/eV/atom. The space group is P4mm. As for the electronic total energy: -158.1 eV per cell. For the formation energy without anion corrections, the calculation gives 0.09 eV per atom.

```
&SYSTEM
  ibrav = 0, nat = 4, ntyp = 3
/
ATOMIC_SPECIES
Co 58.93 Co.upf
Ta 180.95 Ta.upf
Sb 121.76 Sb.upf
CELL_PARAMETERS angstrom
3.0672 0.0000 0.0000
0.0000 3.0672 0.0000
0.0000 0.0000 8.5319
ATOMIC_POSITIONS crystal
Co 0.5000 0.5000 0.7195
Ta 0.0000 0.0000 0.5591
Sb 0.5000 0.5000 0.3064
Sb 0.0000 0.0000 0.9149
```



Entry 8:
Below is Tl2PW at its PBEsol-relaxed geometry, with properties calculated at the SCAN level. Values from VASP.

## Properties
As for the density of states at the Fermi level: 0.695 states/eV/atom. The space group is F-43m. As for the electronic total energy: -219.6 eV per cell. The energy of formation from the pure elements comes out at 1.30 eV/atom. The energy relative to the lowest polymorph listed for this composition comes out at 1019 meV/atom.

```
&SYSTEM
  ibrav = 0, nat = 4, ntyp = 3
/
ATOMIC_SPECIES
Tl 204.38 Tl.upf
P 30.97 P.upf
W 183.84 W.upf
CELL_PARAMETERS angstrom
-4.2394 -1.3770 -1.7781
-0.4392 -4.2891 -2.1073
-2.4877 -3.4904 2.1583
ATOMIC_POSITIONS crystal
Tl 0.0000 0.0000 0.0000
P 0.5000 0.5000 0.5000
W 0.2500 0.2500 0.2500
Tl 0.7500 0.7500 0.7500
```